1.
Material: YReNO
Method: DFT, GGA-PBE
State: relaxed

abc: 4.8626 4.8626 4.2809
angles: 90.00 90.00 90.00
Last column: nearest neighbours and their distance in Å.
Fractional coordinates of all 8 atoms:
N  0.7500  0.7500  0.4982  2 Re 2.14
N  0.2500  0.2500  0.5018  2 Re 2.14
O  0.7500  0.2500  0.0000  2 Y 2.14
O  0.2500  0.7500  0.0000  2 Y 2.14
Re  0.2500  0.2500  0.0013  2 N 2.14
Re  0.7500  0.7500  0.9987  2 N 2.14
Y  0.7500  0.2500  0.5000  2 O 2.14
Y  0.2500  0.7500  0.5000  2 O 2.14

As for the relative energy among the computed polymorphs: 3.32 eV per formula unit. Its symmetry is P4/nmm (129).

2.
Material: ZnBr2
Method: DFT, GGA-PBE
State: relaxed

abc: 7.0111 7.0111 7.0111
angles: 130.15 75.47 127.32
Last column: nearest neighbours and their distance in Å.
Fractional coordinates of all 6 atoms:
Br  0.8778  0.2282  0.1061  2 Zn 2.46
Br  0.6221  0.7282  0.3504  2 Zn 2.46
Br  0.3779  0.2718  0.6496  2 Zn 2.46
Br  0.1221  0.7718  0.8939  2 Zn 2.46
Zn  0.2500  0.2500  0.0000  4 Br 2.46
Zn  0.7500  0.7500  0.0000  4 Br 2.46

Its symmetry is Ibam (72).

3.
Material: ScTaFePb
Method: DFT, GGA-PBE
State: relaxed

abc: 4.6693 4.6693 4.6693
angles: 60.00 60.00 60.00
Last column: nearest neighbours and their distance in Å.
Fractional coordinates of all 4 atoms:
Fe  0.7500  0.7500  0.7500  4 Ta 2.86, 4 Pb 2.86
Pb  0.0000  0.0000  0.0000  4 Sc 2.86, 4 Fe 2.86
Sc  0.2500  0.2500  0.2500  4 Pb 2.86, 4 Ta 2.86
Ta  0.5000  0.5000  0.5000  4 Sc 2.86, 4 Fe 2.86

As for the relative energy among the computed polymorphs: 0.00 eV per formula unit. Its symmetry is F-43m (216).

4.
Material: Li2Sc2TlSnPd2
Method: DFT, GGA-PBE
State: relaxed

abc: 4.6320 4.6320 6.5933
angles: 90.00 90.00 90.00
Last column: nearest neighbours and their distance in Å.
Fractional coordinates of all 8 atoms:
Li  0.5000  0.0000  0.2496  2 Tl 2.84, 4 Sc 2.84, 2 Sn 2.84
Li  0.0000  0.5000  0.7504  4 Sc 2.84, 2 Tl 2.84, 2 Sn 2.84
Pd  0.0000  0.5000  0.2606  2 Sn 2.80, 4 Sc 2.80-2.88, 2 Tl 2.88
Pd  0.5000  0.0000  0.7394  2 Sn 2.80, 4 Sc 2.80-2.88, 2 Tl 2.88
Sc  0.5000  0.5000  0.0000  4 Li 2.84, 4 Pd 2.88
Sc  0.0000  0.0000  0.5000  4 Pd 2.80, 4 Li 2.84
Sn  0.5000  0.5000  0.5000  4 Pd 2.80, 4 Li 2.84
Tl  0.0000  0.0000  0.0000  4 Li 2.84, 4 Pd 2.88

Its symmetry is P-4m2 (115).

5.
Material: Si2AgAs
Method: DFT, GGA-PBE
State: relaxed

abc: 4.5969 4.5969 4.5969
angles: 60.00 60.00 60.00
Last column: nearest neighbours and their distance in Å.
Fractional coordinates of all 4 atoms:
Ag  0.7500  0.7500  0.7500  4 As 2.82, 4 Si 2.82
As  0.0000  0.0000  0.0000  4 Ag 2.82, 4 Si 2.82
Si  0.2500  0.2500  0.2500  4 As 2.82, 4 Si 2.82
Si  0.5000  0.5000  0.5000  4 Si 2.82, 4 Ag 2.82

Its symmetry is F-43m (216).

Total DFT energy (no corrections) per entry: -8.74 -2.41 -7.15 -4.80 -4.04 eV per atom